<one>
Compound: ScSICl2
Source: the Alexandria database
Functional: PBEsol
Structure: optimized geometry

a = 4.7580 Å, b = 4.7580 Å, c = 5.4114 Å
α = 90.00°, β = 90.00°, γ = 90.00°
With the nearest neighbours (Å) after each atom.
Positions (direct):
I1 0.5000 0.5000 0.5000  4 S 3.36, 8 Cl 3.60
Sc1 0.0000 0.0000 0.0000  4 Cl 2.38
S1 0.0000 0.0000 0.5000  2 Sc 2.71
Cl1 0.0000 0.5000 0.0000  2 Sc 2.38
Cl2 0.5000 0.0000 0.0000  2 Sc 2.38

Summary:
space-group type = P4/mmm (123)
D(E_F) = 1.802 states/eV/f.u.


<two>
Compound: ScSICl2
Source: the Alexandria database
Functional: PBEsol
Structure: optimized geometry

a = 5.3785 Å, b = 5.3785 Å, c = 5.2389 Å
α = 90.00°, β = 90.00°, γ = 90.00°
With the nearest neighbours (Å) after each atom.
Positions (direct):
I1 0.0000 0.0000 0.0000  2 S 2.62, 4 Cl 2.69
Sc1 0.5000 0.5000 0.5000  8 Cl 3.75, 4 S 3.80
S1 0.0000 0.0000 0.5000  2 I 2.62
Cl1 0.0000 0.5000 0.0000  2 I 2.69
Cl2 0.5000 0.0000 0.0000  2 I 2.69

Summary:
space-group type = P4/mmm (123)
D(E_F) = 7.149 states/eV/f.u.


Which one is most stable, and which one is least stable? <one> is the most stable of them, while <two> is the least stable.


<one>
Compound: InCl5
Source: the Alexandria database
Functional: PBEsol
Structure: optimized geometry

a = 3.6291 Å, b = 7.4204 Å, c = 7.0594 Å
α = 109.79°, β = 104.89°, γ = 90.00°
With the nearest neighbours (Å) after each atom.
Positions (direct):
In1 0.2009 0.0617 0.4017  5 Cl 2.36-2.54
Cl1 0.9733 0.8861 0.9466  1 Cl 2.00
Cl2 0.3846 0.2148 0.7693  1 In 2.36
Cl3 0.6817 0.8141 0.3635  2 In 2.53
Cl4 0.6538 0.2558 0.3077  2 In 2.54
Cl5 0.9390 0.6009 0.8780  1 Cl 2.00

Summary:
space-group type = Cm (8)
D(E_F) = 0.000 states/eV/f.u.


<two>
Compound: InCl5
Source: the Alexandria database
Functional: PBEsol
Structure: optimized geometry

a = 4.6249 Å, b = 6.0188 Å, c = 6.0188 Å
α = 120.00°, β = 90.00°, γ = 90.00°
With the nearest neighbours (Å) after each atom.
Positions (direct):
Cl1 0.0000 0.6667 0.3333  6 Cl 2.89
Cl2 0.0000 0.3333 0.6667  6 Cl 2.89
Cl3 0.5000 0.5000 0.5000  8 Cl 2.89-3.01
Cl4 0.5000 0.0000 0.5000  8 Cl 2.89-3.01
Cl5 0.5000 0.5000 0.0000  8 Cl 2.89-3.01
In1 0.0000 0.0000 0.0000  18 Cl 3.47-3.80

Summary:
space-group type = P6/mmm (191)
D(E_F) = 5.572 states/eV/f.u.


Which one is most stable, and which one is least stable? <one> is the most stable of them, while <two> is the least stable.


<one>
Compound: KIn2Cl
Source: the Alexandria database
Functional: PBEsol
Structure: optimized geometry

a = 3.8559 Å, b = 3.8682 Å, c = 8.7329 Å
α = 102.82°, β = 90.00°, γ = 90.00°
With the nearest neighbours (Å) after each atom.
Positions (direct):
K1 0.0000 0.7222 0.5670  4 Cl 2.98-2.99
Cl1 0.5000 0.2931 0.7086  1 In 2.73, 4 K 2.98-2.99
In1 0.0000 0.0339 0.1949  4 In 3.07
In2 0.5000 0.4509 0.0295  1 Cl 2.73

Summary:
space-group type = Pm (6)
D(E_F) = 1.122 states/eV/f.u.


<two>
Compound: KIn2Cl
Source: the Alexandria database
Functional: PBEsol
Structure: optimized geometry

a = 3.8332 Å, b = 4.6447 Å, c = 7.3140 Å
α = 108.51°, β = 105.19°, γ = 90.00°
With the nearest neighbours (Å) after each atom.
Positions (direct):
K1 0.5000 0.0000 0.0000  4 Cl 3.01
Cl1 0.0000 0.5000 0.0000  4 K 3.01
In1 0.7359 0.7359 0.4718  4 In 3.03
In2 0.2641 0.2641 0.5282  4 In 3.03

Summary:
space-group type = Immm (71)
D(E_F) = 1.647 states/eV/f.u.


Which one is most stable, and which one is least stable? <one> is the most stable of them, while <two> is the least stable.